A plane-wave DFT calculation with PBE was carried out for crystalline KIrAu2 at its relaxed geometry.

Geometry as POSCAR:
```
KIrAu2
1.0
-5.3112 0.2094 -3.4558
-4.6806 -4.2446 0.5201
3.7524 4.6926 2.0235
Au K Ir
2 1 1
Direct
0.9760 0.9760 0.0000
0.7422 0.2422 0.5000
0.2535 0.7535 0.5000
0.5283 0.5283 0.0000
```

Summary:
crystal system	orthorhombic
formation energy from the elements	0.40	eV/atom
polymorph energy (0 for the lowest one)	114	meV/atom
magnetization	0.000	μB per atom